Pr3SmTh4Se8 PBE optimized geometry; formation energy without anion corrections = -1.6829 eV/atom
1.0
8.3703 0.0000 0.0000
0.0000 8.5104 0.0965
-4.1852 -4.1780 5.9200
Pr Sm Th Se
3 1 4 8
Direct
0.5000 0.5000 0.0000
0.5000 0.5000 0.5000
0.0000 0.5000 0.5000
0.0000 0.5000 0.0000
0.5000 0.0000 0.0000
0.5000 0.0000 0.5000
0.0000 0.0000 0.0000
0.0000 0.0000 0.5000
0.2479 0.7489 0.0009
0.2480 0.7490 0.4960
0.2495 0.2486 0.4991
0.7530 0.7489 0.0009
0.2470 0.2511 0.9991
0.7505 0.7514 0.5009
0.7520 0.2510 0.5040
0.7521 0.2511 0.9991


Ca3Sn3Bi2Pt PBE optimized geometry; DFT formation energy = -0.631 eV per atom
1.0
-2.6303 3.5354 0.4897
-6.5234 -4.8913 0.2733
3.9184 1.9620 6.8812
Ca Sn Bi Pt
3 3 2 1
Direct
0.0000 0.0000 0.3804
0.0000 0.6196 0.6196
0.0000 0.3804 0.0000
0.5000 0.7741 0.0000
0.5000 0.2259 0.2259
0.5000 0.0000 0.7741
0.5000 0.3333 0.6667
0.5000 0.6667 0.3333
0.0000 0.0000 0.0000


LiHfGeN3 PBE optimized geometry; formation energy without anion corrections = -0.6641 eV/atom
1.0
-1.4238 -2.7522 0.5915
3.2558 -0.6677 4.7301
-5.4839 4.0223 5.5150
Li Hf Ge N
2 2 2 6
Direct
0.2500 0.0725 0.1334
0.7500 0.9275 0.8666
0.2500 0.5649 0.1407
0.7500 0.4351 0.8593
0.2500 0.1430 0.5796
0.7500 0.8570 0.4204
0.7500 0.7827 0.2236
0.2500 0.2173 0.7764
0.2500 0.8066 0.5381
0.7500 0.1934 0.4619
0.7500 0.3292 0.0876
0.2500 0.6708 0.9124


Ac2SiGe PBE optimized geometry; formation energy without anion corrections = -0.6282 eV/atom
1.0
4.1923 0.0000 0.0000
0.0000 6.3267 -0.1625
0.0000 -3.3691 8.9275
Ac Si Ge
4 2 2
Direct
0.7500 0.2180 0.4318
0.2500 0.7820 0.5682
0.2500 0.7799 0.0722
0.7500 0.2201 0.9278
0.7500 0.6393 0.2848
0.2500 0.3607 0.7152
0.2500 0.3603 0.2150
0.7500 0.6397 0.7850


| no. | uncorrected energy (eV per atom) |
| --- | --- |
| 1 | -6.4712 |
| 2 | -4.1657 |
| 3 | -7.5742 |
| 4 | -5.1925 |